Here is a relaxed MnMoP2O crystal from Alexandria. Energies are from PBE with a Hubbard U.

Geometry as extended XYZ:
```
5
Lattice="-1.363 -3.108 -3.343 -1.915 -2.778 3.363 -3.123 1.738 -0.342" Properties=species:S:1:pos:R:3 pbc="T T T"
P -0.957 -1.389 1.681
P -0.681 -1.554 -1.672
Mo -3.200 -2.074 -0.161
O -1.562 0.869 -0.171
Mn 0.000 0.000 0.000
```

Properties
**SG**: P4/mmm (123)
**Size of the total moment**: 5.64 μB per cell
**E_tot**: -5.771 eV/atom